Density functional theory data (GGA-PBE) for an optimized crystal structure of KCoAg2.

Its energy of formation from the pure elements is 0.54 eV per atom. Its crystal system is monoclinic. Its density of states at the Fermi level is 4.1 states/eV/f.u.

The structure belongs to space group Cm (No. 8); the cell edges are 9.284, 2.866 and 6.914 Å and the angles 90.00°, 95.21° and 90.00°. Symmetry generates all atoms from K at (0.000, 0.000, 0.000), Co at (0.263, 0.500, 0.348), Ag at (0.238, 0.000, 0.670) and Ag at (0.498, 0.000, 0.463).